No. 1
Below is crystalline TiGa2Tc2 at its relaxed geometry, with properties calculated at the PBE level.

Cell: 6.860 6.860 3.199 Å, 90.00 90.00 90.00°
Space group P4/mbm (No. 127)
One atom of each set of equivalent atoms:
1 Ti 0.000 0.000 0.000 x2
2 Ga 0.132 0.368 0.000 x4
3 Tc 0.167 0.667 0.500 x4



No. 2
Below is crystalline CoAs2Au at its relaxed geometry, with properties calculated at the PBE level.

Cell: 5.147 5.147 5.396 Å, 90.00 90.00 90.00°
Space group I4/mmm (No. 139)
One atom of each set of equivalent atoms:
1 Co 0.000 0.000 0.000 x2
2 As 0.000 0.500 0.000 x4
3 Au 0.000 0.000 0.500 x2



Number 1: ΔE_f -246 meV per atom, size of the total moment 0.00 μB/f.u.. Number 2: ΔE_f 318 meV per atom, size of the total moment 1.39 μB/f.u..